[1]
! HoAg2Sn | OQMD via LeMat-Bulk | PBE | optimized geometry; values from VASP
&SYSTEM
  ibrav = 0, nat = 8, ntyp = 3
/
ATOMIC_SPECIES
Ag 107.87 Ag.upf
Ho 164.93 Ho.upf
Sn 118.71 Sn.upf
ATOMIC_POSITIONS angstrom
Ag -4.9542 2.8823 -3.9936
Ag -1.7132 2.6559 -0.0838
Ag -4.7203 0.6653 -2.3733
Ag -1.9471 4.8729 -1.7042
Ho -3.0189 -0.2147 0.1420
Ho 0.0000 0.0000 0.0000
Sn -4.8471 3.2404 -1.1755
Sn -1.8204 2.2978 -2.9020
CELL_PARAMETERS angstrom
-0.3304 5.3112 1.0059
-0.2992 0.6564 -5.3674
-6.0379 -0.4294 0.2840
! - E: -3.640 eV/atom
! - Calculated volume: 22.174 A^3/atom
! - Space group: Cmcm, No. 63

=====

[2]
! UReGe | OQMD via LeMat-Bulk | PBE | optimized geometry; values from VASP
&SYSTEM
  ibrav = 0, nat = 3, ntyp = 3
/
ATOMIC_SPECIES
U 238.03 U.upf
Ge 72.64 Ge.upf
Re 186.21 Re.upf
ATOMIC_POSITIONS angstrom
U 4.7112 4.7112 4.7112
Ge 0.0000 0.0000 0.0000
Re 1.5704 1.5704 1.5704
CELL_PARAMETERS angstrom
0.0000 3.1408 3.1408
3.1408 0.0000 3.1408
3.1408 3.1408 0.0000
! - E: -8.873 eV/atom
! - Calculated volume: 20.655 A^3/atom
! - Space group: F-43m, No. 216

=====

[3]
! RbZrTe4Au3 | OQMD via LeMat-Bulk | PBE | optimized geometry; values from VASP
&SYSTEM
  ibrav = 0, nat = 9, ntyp = 4
/
ATOMIC_SPECIES
Au 196.97 Au.upf
Rb 85.47 Rb.upf
Te 127.60 Te.upf
Zr 91.22 Zr.upf
ATOMIC_POSITIONS angstrom
Au 3.4125 0.0000 3.4125
Au 0.0000 3.4125 3.4125
Au 3.4125 3.4125 0.0000
Rb 0.0000 0.0000 0.0000
Te 4.9819 1.8430 4.9819
Te 1.8430 4.9819 4.9819
Te 4.9819 4.9819 1.8430
Te 1.8430 1.8430 1.8430
Zr 3.4125 3.4125 3.4125
CELL_PARAMETERS angstrom
6.8249 0.0000 0.0000
0.0000 6.8249 0.0000
0.0000 0.0000 6.8249
! - E: -3.995 eV/atom
! - Calculated volume: 35.322 A^3/atom
! - Space group: P-43m, No. 215
! - Offset from the most stable computed form: 0.45 eV per formula unit